YOsIO2 (GGA-PBE, relaxed); symmetry = P4/mmm; excess energy over the best structure of this formula in the dataset = 180.2 meV/atom
1.0
4.2198 0.0000 0.0000
0.0000 4.2198 0.0000
0.0000 0.0000 6.4920
Y Os I O
1 1 1 2
Cartesian
0.0000 0.0000 0.0000
2.1099 2.1099 3.2460
0.0000 0.0000 3.2460
0.0000 2.1099 0.0000
2.1099 0.0000 0.0000

YOsIO2 (GGA-PBE, relaxed); symmetry = P4/mmm; excess energy over the best structure of this formula in the dataset = 0.0 meV/atom
1.0
4.0571 0.0000 0.0000
0.0000 4.0571 0.0000
0.0000 0.0000 5.5454
Y Os I O
1 1 1 2
Cartesian
0.0000 0.0000 0.0000
2.0286 2.0286 2.7727
2.0286 2.0286 0.0000
0.0000 2.0286 2.7727
2.0286 0.0000 2.7727

ZnOsIO2 (GGA-PBE, relaxed); symmetry = P4/mmm; excess energy over the best structure of this formula in the dataset = 1181.0 meV/atom
1.0
3.8203 0.0000 0.0000
0.0000 3.8203 0.0000
0.0000 0.0000 6.3353
Zn Os I O
1 1 1 2
Cartesian
0.0000 0.0000 0.0000
1.9101 1.9101 3.1677
0.0000 0.0000 3.1677
0.0000 1.9101 0.0000
1.9101 0.0000 0.0000

ZnOsI2O (GGA-PBE, relaxed); symmetry = P4/mmm; excess energy over the best structure of this formula in the dataset = 0.0 meV/atom
1.0
5.6055 0.0000 0.0000
0.0000 5.6055 0.0000
0.0000 0.0000 3.7583
Zn Os I O
1 1 2 1
Cartesian
0.0000 0.0000 0.0000
2.8027 2.8027 1.8791
0.0000 2.8027 1.8791
2.8027 0.0000 1.8791
2.8027 2.8027 0.0000